A | A PBEsol-optimized structure of HgSbPb2, computed with meta-GGA SCAN.

- total moment (μB per atom) = 0.00

Cell lengths 5.5313, 5.5313, 6.4222 Å; angles 96.25, 96.25, 34.61 degrees
Sites, in units of the cell vectors:
Hg  0.0000  0.0000  0.0000
Sb  0.5000  0.5000  0.5000
Pb  0.2496  0.2496  0.7583
Pb  0.7504  0.7504  0.2417

=====

B | A PBEsol-optimized structure of HgSbPb2, computed with meta-GGA SCAN.

- total moment (μB per atom) = 0.00

Cell lengths 3.2266, 5.4249, 6.3470 Å; angles 90.00, 96.48, 90.00 degrees
Sites, in units of the cell vectors:
Hg  0.0000  0.0000  0.0000
Sb  0.0652  0.5000  0.7586
Pb  0.2751  0.0000  0.5071
Pb  0.7636  0.5000  0.2402

=====

Which of them is most stable? Easy: B.

=====

A | A PBEsol-optimized structure of HgSbPb2, computed with meta-GGA SCAN.

- total moment (μB per atom) = 0.00

Cell lengths 3.3472, 3.3472, 10.3487 Å; angles 90.00, 90.00, 109.71 degrees
Sites, in units of the cell vectors:
Hg  0.0000  0.0000  0.0000
Sb  0.0000  0.0000  0.5000
Pb  0.5000  0.5000  0.2461
Pb  0.5000  0.5000  0.7539

=====

B | A PBEsol-optimized structure of HgSbPb2, computed with meta-GGA SCAN.

- total moment (μB per atom) = 0.00

Cell lengths 5.5735, 5.5735, 5.5735 Å; angles 125.75, 125.75, 80.30 degrees
Sites, in units of the cell vectors:
Hg  0.0000  0.0000  0.0000
Sb  0.5000  0.5000  0.0000
Pb  0.2500  0.7500  0.5000
Pb  0.7500  0.2500  0.5000

=====

C | A PBEsol-optimized structure of HgSbPb2, computed with meta-GGA SCAN.

- total moment (μB per atom) = 0.00

Cell lengths 3.9018, 3.9018, 7.2544 Å; angles 90.00, 90.00, 90.00 degrees
Sites, in units of the cell vectors:
Hg  0.0000  0.0000  0.0000
Sb  0.0000  0.0000  0.5000
Pb  0.5000  0.5000  0.2546
Pb  0.5000  0.5000  0.7454

=====

Which of them is most stable? Easy: C.

=====

A | A PBEsol-optimized structure of HgSb2Pb, computed with meta-GGA SCAN.

- total moment (μB per atom) = 0.00

Cell lengths 3.1453, 5.6286, 6.2747 Å; angles 90.00, 102.70, 90.00 degrees
Sites, in units of the cell vectors:
Hg  0.0000  0.0000  0.0000
Sb  0.3972  0.5000  0.7614
Sb  0.6028  0.5000  0.2386
Pb  0.5000  0.0000  0.5000

=====

B | A PBEsol-optimized structure of HgSb2Pb, computed with meta-GGA SCAN.

- total moment (μB per atom) = 0.00

Cell lengths 5.3162, 5.3162, 5.3162 Å; angles 60.00, 60.00, 60.00 degrees
Sites, in units of the cell vectors:
Hg  0.0000  0.0000  0.0000
Sb  0.2500  0.2500  0.2500
Sb  0.7500  0.7500  0.7500
Pb  0.5000  0.5000  0.5000

=====

C | A PBEsol-optimized structure of HgSb2Pb, computed with meta-GGA SCAN.

- total moment (μB per atom) = 0.00

Cell lengths 8.0629, 8.0629, 8.0629 Å; angles 131.84, 131.84, 70.49 degrees
Sites, in units of the cell vectors:
Hg  0.0000  0.0000  0.0000
Hg  0.7500  0.2500  0.5000
Sb  0.1076  0.6250  0.9826
Sb  0.3750  0.3576  0.4826
Sb  0.6424  0.1250  0.0174
Sb  0.8750  0.8924  0.5174
Pb  0.2500  0.7500  0.5000
Pb  0.5000  0.5000  0.0000

=====

Which of them is most stable? Easy: C.

=====

A | A PBEsol-optimized structure of HgSb2Pb, computed with meta-GGA SCAN.

- total moment (μB per atom) = 0.00

Cell lengths 6.1383, 6.1383, 6.1383 Å; angles 142.58, 127.77, 66.00 degrees
Sites, in units of the cell vectors:
Hg  0.0000  0.0000  0.0000
Sb  0.5488  0.5488  0.0000
Sb  0.7616  0.2616  0.5000
Pb  0.2528  0.7528  0.5000

=====

B | A PBEsol-optimized structure of HgSb2Pb, computed with meta-GGA SCAN.

- total moment (μB per atom) = 0.00

Cell lengths 4.1462, 4.7191, 5.5000 Å; angles 90.00, 90.00, 90.00 degrees
Sites, in units of the cell vectors:
Hg  0.0000  0.0000  0.0000
Sb  0.0000  0.5000  0.5000
Sb  0.5000  0.0000  0.5000
Pb  0.5000  0.5000  0.0000

=====

Which of them is most stable? Easy: A.

=====

A | A PBEsol-optimized structure of HgPb2Se, computed with meta-GGA SCAN.

- total moment (μB per atom) = 0.00

Cell lengths 6.1211, 6.1211, 4.8291 Å; angles 99.47, 99.47, 37.42 degrees
Sites, in units of the cell vectors:
Hg  0.0000  0.0000  0.0000
Pb  0.4910  0.4910  0.5031
Pb  0.7369  0.7369  0.0563
Se  0.2461  0.2461  0.5236

=====

B | A PBEsol-optimized structure of HgPb2Se, computed with meta-GGA SCAN.

- total moment (μB per atom) = 0.00

Cell lengths 5.2217, 5.2217, 3.7755 Å; angles 90.00, 90.00, 90.00 degrees
Sites, in units of the cell vectors:
Hg  0.0000  0.0000  0.0000
Pb  0.0000  0.5000  0.5000
Pb  0.5000  0.0000  0.5000
Se  0.5000  0.5000  0.0000

=====

Which of them is most stable? Easy: A.

=====

A | A PBEsol-optimized structure of SiHgPb2, computed with meta-GGA SCAN.

- total moment (μB per atom) = 0.00

Cell lengths 5.3353, 5.3353, 3.4403 Å; angles 90.00, 90.00, 90.00 degrees
Sites, in units of the cell vectors:
Si  0.0000  0.0000  0.0000
Hg  0.5000  0.5000  0.0000
Pb  0.0000  0.5000  0.5000
Pb  0.5000  0.0000  0.5000

=====

B | A PBEsol-optimized structure of SiHgPb2, computed with meta-GGA SCAN.

- total moment (μB per atom) = 0.00

Cell lengths 10.3216, 10.3216, 10.3216 Å; angles 18.96, 18.96, 18.96 degrees
Sites, in units of the cell vectors:
Si  0.0000  0.0000  0.0000
Hg  0.5000  0.5000  0.5000
Pb  0.2583  0.2583  0.2583
Pb  0.7417  0.7417  0.7417

=====

Which of them is most stable? Easy: B.

=====

A | A PBEsol-optimized structure of Sn2HgPb, computed with meta-GGA SCAN.

- total moment (μB per atom) = 0.00

Cell lengths 5.2912, 5.2912, 5.2912 Å; angles 60.00, 60.00, 60.00 degrees
Sites, in units of the cell vectors:
Sn  0.2500  0.2500  0.2500
Sn  0.7500  0.7500  0.7500
Hg  0.0000  0.0000  0.0000
Pb  0.5000  0.5000  0.5000

=====

B | A PBEsol-optimized structure of Sn2HgPb, computed with meta-GGA SCAN.

- total moment (μB per atom) = 0.00

Cell lengths 11.6573, 11.6573, 11.6573 Å; angles 158.26, 158.26, 30.93 degrees
Sites, in units of the cell vectors:
Sn  0.1163  0.6250  0.9913
Sn  0.3750  0.3663  0.4913
Sn  0.6337  0.1250  0.0087
Sn  0.8750  0.8837  0.5087
Hg  0.0000  0.0000  0.0000
Hg  0.7500  0.2500  0.5000
Pb  0.2500  0.7500  0.5000
Pb  0.5000  0.5000  0.0000

=====

Which of them is most stable? Easy: B.

=====

A | A PBEsol-optimized structure of Tl2Hg2Pb, computed with meta-GGA SCAN.

- total moment (μB per atom) = 0.00

Cell lengths 8.5336, 8.5336, 3.7324 Å; angles 90.00, 90.00, 90.00 degrees
Sites, in units of the cell vectors:
Tl  0.1409  0.3591  0.0000
Tl  0.3591  0.8591  0.0000
Tl  0.6409  0.1409  0.0000
Tl  0.8591  0.6409  0.0000
Hg  0.1587  0.6587  0.5000
Hg  0.3413  0.1587  0.5000
Hg  0.6587  0.8413  0.5000
Hg  0.8413  0.3413  0.5000
Pb  0.0000  0.0000  0.0000
Pb  0.5000  0.5000  0.0000

=====

B | A PBEsol-optimized structure of Tl2Hg2Pb, computed with meta-GGA SCAN.

- total moment (μB per atom) = 0.00

Cell lengths 7.7766, 7.7766, 7.7766 Å; angles 146.90, 146.90, 47.51 degrees
Sites, in units of the cell vectors:
Tl  0.2500  0.7500  0.5000
Tl  0.7500  0.2500  0.5000
Hg  0.0974  0.0974  0.0000
Hg  0.9026  0.9026  0.0000
Pb  0.5000  0.5000  0.0000

=====

Which of them is most stable? Easy: A.

=====

A | A PBEsol-optimized structure of HgPbW, computed with meta-GGA SCAN.

- total moment (μB per atom) = 0.72

Cell lengths 4.6617, 4.6617, 4.6617 Å; angles 60.00, 60.00, 60.00 degrees
Sites, in units of the cell vectors:
Hg  0.0000  0.0000  0.0000
Pb  0.5000  0.5000  0.5000
W  0.7500  0.7500  0.7500

=====

B | A PBEsol-optimized structure of HgPbW, computed with meta-GGA SCAN.

- total moment (μB per atom) = 0.00

Cell lengths 4.9311, 4.9311, 2.9308 Å; angles 90.00, 90.00, 120.00 degrees
Sites, in units of the cell vectors:
Hg  0.0000  0.0000  0.0000
Pb  0.3333  0.6667  0.5000
W  0.6667  0.3333  0.5000

=====

Which of them is most stable? Easy: A.

=====

A | A PBEsol-optimized structure of ZnHgPb2, computed with meta-GGA SCAN.

- total moment (μB per atom) = 0.00

Cell lengths 9.7047, 9.7047, 9.7047 Å; angles 20.58, 20.58, 20.58 degrees
Sites, in units of the cell vectors:
Zn  0.0000  0.0000  0.0000
Hg  0.2678  0.2678  0.2678
Pb  0.5119  0.5119  0.5119
Pb  0.7459  0.7459  0.7459

=====

B | A PBEsol-optimized structure of ZnHgPb2, computed with meta-GGA SCAN.

- total moment (μB per atom) = 0.00

Cell lengths 3.4294, 3.4294, 8.3189 Å; angles 90.00, 90.00, 90.00 degrees
Sites, in units of the cell vectors:
Zn  0.0000  0.0000  0.0000
Hg  0.0000  0.0000  0.5000
Pb  0.5000  0.5000  0.2227
Pb  0.5000  0.5000  0.7773

=====

C | A PBEsol-optimized structure of ZnHgPb2, computed with meta-GGA SCAN.

- total moment (μB per atom) = 0.00

Cell lengths 5.2557, 5.2557, 5.2557 Å; angles 122.60, 122.60, 85.55 degrees
Sites, in units of the cell vectors:
Zn  0.0000  0.0000  0.0000
Hg  0.5000  0.5000  0.0000
Pb  0.2500  0.7500  0.5000
Pb  0.7500  0.2500  0.5000

=====

Which of them is most stable? Easy: A.

=====

A | A PBEsol-optimized structure of SrHg2Pd2, computed with meta-GGA SCAN.

- total moment (μB per atom) = 0.00

Cell lengths 6.7601, 6.7601, 6.7601 Å; angles 143.04, 143.04, 53.27 degrees
Sites, in units of the cell vectors:
Sr  0.0000  0.0000  0.0000
Hg  0.3853  0.3853  0.0000
Hg  0.6147  0.6147  0.0000
Pd  0.2500  0.7500  0.5000
Pd  0.7500  0.2500  0.5000

=====

B | A PBEsol-optimized structure of SrHg2Pd2, computed with meta-GGA SCAN.

- total moment (μB per atom) = 0.00

Cell lengths 7.6342, 7.6342, 3.4940 Å; angles 90.00, 90.00, 90.00 degrees
Sites, in units of the cell vectors:
Sr  0.0000  0.0000  0.0000
Sr  0.5000  0.5000  0.0000
Hg  0.1596  0.3404  0.5000
Hg  0.3404  0.8404  0.5000
Hg  0.6596  0.1596  0.5000
Hg  0.8404  0.6596  0.5000
Pd  0.1328  0.6328  0.0000
Pd  0.3672  0.1328  0.0000
Pd  0.6328  0.8672  0.0000
Pd  0.8672  0.3672  0.0000

=====

Which of them is most stable? Easy: A.

=====

A | A PBEsol-optimized structure of Hg3Pt, computed with meta-GGA SCAN.

- total moment (μB per atom) = 0.00

Cell lengths 9.7926, 9.7926, 9.7926 Å; angles 18.06, 18.06, 18.06 degrees
Sites, in units of the cell vectors:
Hg  0.0000  0.0000  0.0000
Hg  0.2429  0.2429  0.2429
Hg  0.7571  0.7571  0.7571
Pt  0.5000  0.5000  0.5000

=====

B | A PBEsol-optimized structure of Hg3Pt, computed with meta-GGA SCAN.

- total moment (μB per atom) = 0.00

Cell lengths 5.2304, 5.2304, 5.2304 Å; angles 90.00, 90.00, 90.00 degrees
Sites, in units of the cell vectors:
Hg  0.0000  0.0000  0.5000
Hg  0.0000  0.5000  0.0000
Hg  0.5000  0.0000  0.0000
Pt  0.0000  0.0000  0.0000

=====

Which of them is most stable? Easy: B.

=====

A | A PBEsol-optimized structure of Hg3Pt, computed with meta-GGA SCAN.

- total moment (μB per atom) = 0.00

Cell lengths 3.0801, 4.6851, 5.5456 Å; angles 90.00, 97.98, 90.00 degrees
Sites, in units of the cell vectors:
Hg  0.0000  0.0000  0.0000
Hg  0.3428  0.5000  0.7374
Hg  0.6572  0.5000  0.2626
Pt  0.0000  0.0000  0.5000

=====

B | A PBEsol-optimized structure of Hg3Pt, computed with meta-GGA SCAN.

- total moment (μB per atom) = 0.00

Cell lengths 7.2420, 8.6661, 5.3192 Å; angles 90.00, 90.00, 90.00 degrees
Sites, in units of the cell vectors:
Hg  0.0038  0.2500  0.0961
Hg  0.1687  0.5443  0.3676
Hg  0.1687  0.9557  0.3676
Hg  0.3313  0.0443  0.8676
Hg  0.3313  0.4557  0.8676
Hg  0.4962  0.7500  0.5961
Hg  0.5038  0.2500  0.4039
Hg  0.6687  0.5443  0.1324
Hg  0.6687  0.9557  0.1324
Hg  0.8313  0.0443  0.6324
Hg  0.8313  0.4557  0.6324
Hg  0.9962  0.7500  0.9039
Pt  0.1386  0.2500  0.5816
Pt  0.3614  0.7500  0.0816
Pt  0.6386  0.2500  0.9184
Pt  0.8614  0.7500  0.4184

=====

Which of them is most stable? Easy: B.